Here is an optimized crystal structure of Ga4CuPt from Alexandria via LeMat-Bulk. Energies are from PBE.

POSCAR file:
```
Ga4CuPt
1.0
4.206 0.000 0.002
0.000 4.206 0.003
-0.002 -0.003 5.903
Ga Cu Pt
4 1 1
direct
0.501 0.997 0.256
0.501 0.997 0.740
0.001 0.497 0.740
0.001 0.497 0.256
0.001 0.997 0.498
0.501 0.497 0.998
```

Output
Energy of formation from the pure elements: -8.342 kcal/mol of atoms
Size of the total moment: 0.00 μB per formula unit
Offset from the most stable computed form: 0.000 eV per atom
Energy: -24.42 eV/cell